Crystalline CoTeO4 at its relaxed geometry, computed with PBE with a Hubbard U.

Geometry as extended XYZ:
```
12
Lattice="-3.0214 3.0610 4.5097 3.0214 -3.0610 4.5097 3.0214 3.0610 -4.5097" Properties=species:S:1:pos:R:3 pbc="T T T"
Co 1.5107 1.5305 -2.2549
Co 1.5107 -1.5305 2.2549
Te 0.0000 3.0610 0.0000
Te 0.0000 0.0000 0.0000
O 0.0000 0.1465 7.1067
O 1.6806 -1.5305 4.4960
O 3.0214 -0.1465 2.5970
O 1.3408 1.5305 -0.0137
O 1.6806 1.5305 4.5234
O 0.0000 3.2075 1.9127
O 1.3408 4.5915 0.0137
O 3.0214 2.9145 -2.5970
```

Summary:
uncorrected energy	-5.576	eV/atom
SG	Imma
energy relative to the lowest polymorph listed for this composition	12.0	kJ/mol of atoms
total moment	5.99	Bohr magnetons per cell
theoretical density	4.99	g/cm³